1.
Below is a geometry-optimized Pm5PrSm5 structure, with properties calculated at the PBE level.

The total energy comes out at -4.452 eV/atom. For the energy relative to the elements, the calculation gives 28 kJ per mole of atoms.

Geometry as POSCAR:
```
Pm5PrSm5
1.0
6.2238 0.0000 0.0000
-3.1119 5.3900 0.0000
0.0000 0.0000 11.6695
Pm Pr Sm
5 1 5
Cartesian
3.1119 1.7967 1.8637
0.0000 3.5933 3.8046
0.0000 0.0000 0.0000
3.1119 1.7967 9.8058
0.0000 3.5933 7.8649
0.0000 3.5933 0.0000
3.1119 3.5684 5.8347
0.0000 0.0000 8.5696
4.6463 0.9108 5.8347
0.0000 0.0000 3.0999
1.5775 0.9108 5.8347
```

2.
Below is a geometry-optimized TmMgGaAu structure, with properties calculated at the PBE level.

The total energy comes out at -3.720 eV/atom. For the energy relative to the elements, the calculation gives -61 kJ per mole of atoms.

Geometry as POSCAR:
```
TmMgGaAu
1.0
-2.8742 0.7074 3.8406
-4.3023 -2.2224 0.2506
-0.6981 -3.5778 3.1975
Ga Tm Au Mg
1 1 1 1
Cartesian
-1.9686 -1.2732 1.8222
0.0000 0.0000 0.0000
-5.9059 -3.8196 5.4665
-3.9373 -2.5464 3.6443
```

3.
Below is a geometry-optimized SrMg4Sn2 structure, with properties calculated at the PBE level.

The total energy comes out at -2.622 eV/atom. For the energy relative to the elements, the calculation gives -32 kJ per mole of atoms.

Geometry as POSCAR:
```
SrMg4Sn2
1.0
-1.5228 4.3550 -0.4713
-2.3834 0.1023 8.6471
8.1307 3.0816 2.2046
Mg Sn Sr
8 4 2
Cartesian
3.1745 2.1193 9.3271
5.8400 2.8746 7.6938
0.5723 3.5303 7.9558
-0.0928 0.3093 3.1580
3.6522 4.0087 2.4247
-0.8848 2.7231 5.2047
5.1092 4.8158 5.1758
2.5728 1.0646 1.5247
3.3326 4.4456 7.4946
-0.1507 0.7349 7.2791
5.8980 2.4489 3.5727
0.8918 3.0934 2.8859
2.8736 1.5919 5.4259
-0.7614 2.1775 -0.2356
```

4.
Below is a geometry-optimized Tm12Rh3N5 structure, with properties calculated at the PBE level.

The total energy comes out at -6.905 eV/atom.

Geometry as POSCAR:
```
Tm12Rh3N5
1.0
12.9514 0.0000 0.0000
-4.3171 12.2107 0.0000
-4.3171 -6.1054 10.5748
Tm Rh N
48 12 20
Cartesian
4.9724 1.6205 9.5373
-1.5742 -0.6941 5.0465
6.6053 10.8736 0.2409
-0.5843 0.9707 2.1631
4.1875 2.1755 6.3249
-0.6552 7.8141 0.8847
-2.2882 2.5928 6.5658
-4.4468 8.6981 4.0090
6.6053 3.5126 4.0090
1.5742 4.4406 7.2096
4.9724 -1.7088 9.6901
1.0486 1.0657 6.1720
3.7328 -1.6647 3.3652
0.1296 3.9299 4.2499
2.2882 -2.1755 6.3249
5.8205 6.0171 1.9222
8.5047 1.3371 0.2409
-1.1099 7.1711 4.4027
4.9015 5.1347 8.4117
1.5034 -1.6205 9.5373
9.7442 2.8253 3.1243
2.0290 8.2808 4.2499
9.2895 6.1936 1.9222
-4.1875 4.7683 10.3339
-1.5033 0.0883 8.6526
-1.0486 4.3457 9.2964
3.2685 5.0396 4.4027
-4.9723 -0.0883 8.6526
-3.2072 10.4511 1.2784
5.4271 -1.0657 6.1720
2.8138 4.3966 0.8847
8.7639 -2.5928 6.5658
-0.6552 4.4848 1.0375
-2.7429 7.0760 8.4117
8.0500 0.6941 5.0465
7.5243 -4.3457 9.2964
0.5843 7.7701 7.2096
5.3658 9.3854 3.1243
2.8138 7.7259 1.0375
-2.2882 -4.7682 10.3339
1.5033 1.7088 9.6901
-5.4271 3.2800 7.4505
5.8914 6.7994 5.5283
-1.0486 -3.2800 7.4505
-3.7328 5.4113 5.5283
2.7429 1.6647 3.3652
7.0600 -0.9707 2.1631
5.3658 1.7596 1.2784
7.5550 3.8158 1.3218
5.3964 0.7632 3.9655
-1.0793 5.3422 6.6092
7.5550 8.3949 1.3218
3.2379 6.8685 6.6092
-3.2379 2.2895 9.2529
3.2379 0.0000 7.9311
1.0793 6.1054 2.6437
9.7136 0.0000 2.6437
-3.2379 -2.2895 9.2529
1.0793 -0.7632 3.9655
-5.3964 6.1054 7.9311
1.0793 -3.0527 7.9311
0.0000 0.0000 0.0000
4.3171 6.1054 0.0000
-1.0793 0.7632 6.6092
5.3964 -3.8158 9.2529
4.3171 -3.0527 5.2874
-4.3171 3.0527 5.2874
3.2379 2.2895 1.3218
1.0793 3.8158 9.2529
3.2379 9.1580 2.6437
-2.1586 6.1054 0.0000
-3.2379 6.8685 3.9655
2.1586 3.0527 5.2874
-1.0793 3.0527 2.6437
7.5550 -0.7632 6.6092
5.3964 3.0527 7.9311
-1.0793 9.9212 1.3218
6.4757 0.0000 0.0000
5.3964 5.3422 3.9655
-2.1586 -3.0527 5.2874
```

5.
Below is a geometry-optimized Pm6Pr3YTm2 structure, with properties calculated at the PBE level.

The total energy comes out at -4.835 eV/atom. For the energy relative to the elements, the calculation gives 2 kJ per mole of atoms.

Geometry as POSCAR:
```
Pm6Pr3YTm2
1.0
-4.1817 -2.8865 -3.7358
0.5427 -1.7164 6.0444
-6.9819 9.5202 2.2338
Pm Pr Y Tm
6 3 1 2
Cartesian
-1.8224 1.3735 2.7582
-8.7986 3.5437 1.7841
-6.1960 6.0317 2.2715
-4.4250 -1.1145 2.2709
-3.4037 0.9819 -0.5154
-7.2172 3.9353 5.0578
-5.3105 2.4586 2.2712
-6.8844 2.0688 -0.9870
-3.7365 2.8484 5.5294
0.0000 0.0000 0.0000
-2.6068 -2.4965 -0.4754
-1.0323 -2.1065 2.7840
```

6.
Below is a geometry-optimized HoGa4Ir structure, with properties calculated at the PBE level.

The total energy comes out at -4.544 eV/atom. For the energy relative to the elements, the calculation gives -28 kJ per mole of atoms.

Geometry as POSCAR:
```
HoGa4Ir
1.0
-1.1008 1.6255 5.4481
-1.4826 -6.2541 -1.5113
6.9079 -1.1910 1.7511
Ho Ga Ir
2 8 2
Cartesian
1.2949 0.3402 2.5761
4.5122 0.0942 4.6231
2.6436 -6.1777 0.1375
5.9360 -1.4204 2.4611
1.6810 0.3580 5.5504
-1.6115 -4.3992 3.2268
3.5584 -3.0372 2.3569
3.9584 -2.9914 5.5018
0.7661 -2.7824 3.3309
0.3662 -2.8282 0.1861
-1.2917 -2.3143 1.9684
2.7127 -3.7226 0.1199
```

7.
Below is a geometry-optimized TbPmCo structure, with properties calculated at the PBE level.

The total energy comes out at -5.613 eV/atom. For the energy relative to the elements, the calculation gives -11 kJ per mole of atoms.

Geometry as POSCAR:
```
TbPmCo
1.0
3.5878 0.0000 0.9293
1.8901 6.1699 0.0932
0.1261 -0.9092 6.9038
Co Tb Pm
2 2 2
Cartesian
5.1548 5.7629 2.2699
0.4492 -0.5021 5.6563
1.6351 1.5469 1.0777
3.9689 3.7138 6.8486
2.6313 0.9395 4.6223
2.9727 4.3213 3.3040
```

8.
Below is a geometry-optimized LiZn2Tc structure, with properties calculated at the PBE level.

The total energy comes out at -3.218 eV/atom. For the energy relative to the elements, the calculation gives 47 kJ per mole of atoms.

Geometry as POSCAR:
```
LiZn2Tc
1.0
3.6667 0.0000 0.0000
0.0000 3.6667 0.0000
1.8333 1.8333 8.8866
Li Zn Tc
2 4 2
Cartesian
1.8333 1.8333 0.0000
1.8333 3.6667 4.4433
4.5834 4.5757 6.6649
0.9244 2.7500 2.2216
2.7423 0.9167 2.2216
2.7500 2.7577 6.6649
0.0000 0.0000 0.0000
3.6667 1.8333 4.4433
```

9.
Below is a geometry-optimized Tb2Dy3Si4 structure, with properties calculated at the PBE level.

The total energy comes out at -5.724 eV/atom.

Geometry as POSCAR:
```
Tb2Dy3Si4
1.0
-5.7007 -1.7106 4.4513
-1.9974 -2.2602 -7.0261
3.1195 -6.9150 1.3376
Tb Si Dy
4 8 6
Cartesian
-0.3380 -1.8596 -0.7714
-2.7613 -3.6616 1.6374
-1.8173 -7.2242 -2.8746
-4.2406 -9.0262 -0.4658
-5.6057 -3.4385 0.6233
0.7146 -7.5494 2.4165
-2.6340 -6.5056 0.0175
-3.5197 -5.3369 4.0487
-1.9447 -4.3802 -1.2547
-1.0589 -5.5489 -5.2859
-5.2932 -3.3364 -3.6537
1.0270 -7.4473 -1.8605
0.5610 -4.5876 -2.8442
0.1956 -5.6955 0.3345
-3.8490 -1.9854 -1.2874
-2.2277 -7.4974 2.7433
-2.3509 -3.3884 -3.9804
-4.7742 -5.1903 -1.5717
```

10.
Below is a geometry-optimized Pm4Ga12Cu structure, with properties calculated at the PBE level.

The total energy comes out at -4.030 eV/atom. For the energy relative to the elements, the calculation gives -52 kJ per mole of atoms.

Geometry as POSCAR:
```
Pm4Ga12Cu
1.0
7.1579 0.0000 -2.5307
-3.5789 6.1989 -2.5307
0.0000 0.0000 7.5921
Ga Pm Cu
12 4 1
Cartesian
-0.8947 4.6492 1.2653
-2.5285 4.3795 3.5758
0.0000 3.0995 3.7960
4.4737 1.5497 1.2653
3.5789 3.0995 -1.2653
2.1009 0.0000 1.4855
0.8947 4.6492 -1.2653
2.5285 4.3795 -3.5758
1.0504 1.8194 -1.4855
-1.0504 1.8194 1.4855
5.0570 0.0000 3.5758
2.6842 1.5497 3.7960
3.5789 0.0000 -1.2653
0.0000 0.0000 3.7960
-1.7895 3.0995 -1.2653
1.7895 3.0995 1.2653
0.0000 0.0000 0.0000
```

11.
Below is a geometry-optimized CsAsSI2 structure, with properties calculated at the PBE level.

The total energy comes out at -3.050 eV/atom.

Geometry as POSCAR:
```
CsAsSI2
1.0
-4.9896 1.7958 -2.9787
0.8604 -4.4096 -4.0998
-2.6915 -3.0227 2.6862
Cs I As S
1 2 1 1
Cartesian
-3.4103 -2.8182 -2.1962
0.4302 -2.2048 -2.0499
-2.4948 0.8979 -1.4893
0.0000 0.0000 0.0000
-1.3457 -1.5113 1.3431
```

12.
Below is a geometry-optimized Na2N2O structure, with properties calculated at the PBE level.

The total energy comes out at -5.158 eV/atom.

Geometry as POSCAR:
```
Na2N2O
1.0
-1.8813 2.0226 3.4766
-3.1388 -3.1382 0.1272
-0.5124 -2.4669 3.9935
O Na N
1 2 2
Cartesian
0.0000 0.0000 0.0000
-3.0806 -3.0815 2.9613
-2.4519 -0.5011 4.6360
-2.1912 -0.8625 2.1517
-3.3413 -2.7201 5.4456
```

13.
Below is a geometry-optimized NpBC structure, with properties calculated at the PBE level.

The total energy comes out at -9.630 eV/atom. For the energy relative to the elements, the calculation gives -2 kJ per mole of atoms.

Geometry as POSCAR:
```
NpBC
1.0
-2.7478 0.4996 0.5099
0.0424 -4.9160 5.0450
1.8156 5.0149 4.8714
C B Np
4 4 4
Cartesian
-1.0356 0.2804 2.0480
-0.7680 -1.4968 5.2318
-1.2493 3.0258 6.1108
1.2732 -0.6126 7.4620
-2.2604 -1.8902 5.4781
0.4621 0.0569 2.4347
0.0008 2.7498 5.2141
0.0178 0.2804 7.7255
-1.2992 -2.0229 2.8841
0.9831 0.1614 5.1403
-0.4779 -2.2706 7.5536
-0.9857 5.3290 5.2746
```

14.
Below is a geometry-optimized SiNiIr2 structure, with properties calculated at the PBE level.

The total energy comes out at -7.486 eV/atom.

Geometry as POSCAR:
```
SiNiIr2
1.0
-0.5077 2.0621 1.9272
-2.6059 -1.0954 0.4856
2.4237 -3.7188 4.6177
Ir Si Ni
2 1 1
Cartesian
1.2711 -1.9503 2.4217
2.3645 -3.6280 4.5048
0.2610 -2.3058 4.6696
-0.9509 -0.4463 2.3608
```

15.
Below is a geometry-optimized Tl3PtCl4 structure, with properties calculated at the PBE level.

The total energy comes out at -3.278 eV/atom.

Geometry as POSCAR:
```
Tl3PtCl4
1.0
-8.4664 0.7459 -0.8658
-0.0414 -4.1652 -3.1835
-1.4481 -6.5173 8.5460
Cl Tl Pt
8 6 2
Cartesian
-1.2708 -4.0533 -3.3064
-5.6839 0.4886 -0.5905
-6.4720 -6.2734 3.9679
-1.5147 -3.3805 0.1333
-2.3382 -7.0866 4.9929
-5.8474 -3.4621 0.2816
-6.1867 -2.7810 3.7116
-2.2159 -7.2840 0.9504
-4.1358 -1.7299 -2.0201
-9.0928 -4.5959 1.8351
-3.7473 -1.5612 2.0881
-8.7458 -8.6090 2.7471
-7.9222 -4.9021 -2.1137
-4.3717 -4.3716 5.7733
-6.2106 -4.8641 2.1189
-1.2533 -1.9696 -1.7144
```

16.
Below is a geometry-optimized Pm3ZnGa2 structure, with properties calculated at the PBE level.

The total energy comes out at -4.078 eV/atom. For the energy relative to the elements, the calculation gives -46 kJ per mole of atoms.

Geometry as POSCAR:
```
Pm3ZnGa2
1.0
-1.9567 -1.1605 -2.8475
-0.6523 -3.1416 1.7286
-9.2012 4.4023 4.5285
Ga Zn Pm
2 1 3
Cartesian
-2.8810 -1.3968 0.2165
-8.9292 1.4969 3.1932
-5.9051 0.0501 1.7048
0.0000 0.0000 0.0000
-3.0886 1.4778 1.5201
-6.1126 2.9245 3.0084
```

17.
Below is a geometry-optimized Ba2NbInO6 structure, with properties calculated at the PBE level.

The total energy comes out at -7.185 eV/atom.

Geometry as POSCAR:
```
Ba2NbInO6
1.0
-1.0338 -2.0381 5.4970
2.9257 -3.3841 -3.9285
2.6085 4.8393 2.2843
Nb O In Ba
1 6 1 2
Cartesian
3.5544 2.1282 3.0685
2.6833 0.4857 3.8627
2.7237 -3.6734 0.7432
1.3572 -2.0305 2.6431
3.1432 1.4476 1.2097
1.8172 -1.0685 -0.0099
1.7768 3.0905 3.1097
1.7333 -1.3105 4.6749
0.3938 0.7003 1.9453
1.1811 2.1008 5.8360
```

18.
Below is a geometry-optimized LiNi6B structure, with properties calculated at the PBE level.

The total energy comes out at -5.221 eV/atom. For the energy relative to the elements, the calculation gives 18 kJ per mole of atoms.

Geometry as POSCAR:
```
LiNi6B
1.0
-0.7098 2.6504 4.2770
-4.6601 0.4271 1.9806
-1.1198 -2.6017 4.4450
Ni Li B
6 1 1
Cartesian
-3.5279 0.6023 8.0972
-0.7970 -0.3249 1.6855
-5.6927 0.8007 9.0172
-5.3630 -0.4305 7.0304
-2.9617 -0.1265 2.6055
-1.1267 0.9063 3.6723
-3.2448 0.2379 5.3513
0.0000 0.0000 0.0000
```

19.
Below is a geometry-optimized Pr2Dy5ThSc structure, with properties calculated at the PBE level.

The total energy comes out at -4.977 eV/atom. For the energy relative to the elements, the calculation gives 16 kJ per mole of atoms.

Geometry as POSCAR:
```
Pr2Dy5ThSc
1.0
-1.9777 -3.3576 -4.0224
10.0175 -5.0420 3.1821
-4.5326 -4.9769 6.3829
Pr Dy Sc Th
4 10 2 2
Cartesian
2.4375 -10.7203 3.8513
-0.7656 -5.4368 4.9146
4.5512 -7.6340 0.2359
0.8225 -2.9277 2.0394
1.7185 -5.4923 -0.1592
6.7804 -5.3767 1.1544
5.2610 -10.1924 5.9212
-1.7679 -3.1996 -0.3588
-1.3646 -5.9041 1.7005
-0.5886 -9.0290 3.9274
2.1031 -7.5391 5.2590
5.7215 -10.8870 2.3758
0.0112 -0.0459 0.0329
3.2392 -5.2881 2.8215
3.8376 -3.0038 0.6205
1.7762 -8.0596 1.9555
-3.4727 -7.8005 4.3200
5.1263 -7.6112 3.8328
```